Entry from the Alexandria database: an optimized crystal structure of TlCd3Au (PBE).

Results
Distance to the lowest polymorph of the same formula in meV/atom: 30
Total energy in eV per atom: -1.685

Structure (POSCAR):
```
TlCd3Au
1.0
5.568 0.000 0.000
0.000 7.304 0.000
0.000 -3.652 6.324
Au Cd Tl
2 6 2
Direct
0.000 0.000 0.000 Au
0.500 0.000 0.000 Au
0.250 0.805 0.609 Cd
0.250 0.805 0.195 Cd
0.250 0.391 0.195 Cd
0.750 0.609 0.805 Cd
0.750 0.195 0.391 Cd
0.750 0.195 0.805 Cd
0.750 0.667 0.333 Tl
0.250 0.333 0.667 Tl
```